VASP calculation (GGA+U) on an optimized crystal structure of MnF.

Unit cell a=3.1767 b=3.1767 c=7.1637 alpha=90.00 beta=90.00 gamma=120.00
Fractional positions:
Mn: 0.3333 0.6667 0.0000
Mn: 0.6667 0.3333 0.5000
F: 0.3333 0.6667 0.6950
F: 0.6667 0.3333 0.1950

The polymorph energy (0 for the lowest one) is 0.2189 eV/atom. The space-group type is P6_3mc (186). The energy is -5.9876 eV per atom.